1.
Compound: LiZr2Tl
Source: Alexandria
Functional: PBEsol
Structure: relaxed

```
LiZr2Tl
1.0
3.3240 0.0000 0.0000
0.0000 4.2735 0.0000
0.0000 0.0000 5.7218
Li Zr Tl
1 2 1
Direct
0.5000 0.5000 0.0000
0.0000 0.0000 0.2462
0.0000 0.0000 0.7538
0.5000 0.5000 0.5000
```

Summary:
Crystal system: orthorhombic
Final energy (eV/atom): -5.674
Total magnetization (Bohr magnetons per cell): 0.00

=====

2.
Compound: TiN2F2
Source: Alexandria
Functional: PBEsol
Structure: relaxed

```
TiN2F2
1.0
3.8105 0.0000 0.0000
0.0000 3.9691 0.0000
0.0000 0.0000 3.9691
N Ti F
2 1 2
Direct
0.0000 0.0000 0.5000
0.0000 0.5000 0.0000
0.0000 0.0000 0.0000
0.5000 0.5000 0.5000
0.5000 0.0000 0.0000
```

Summary:
Crystal system: tetragonal
Final energy (eV/atom): -6.071
ΔE_f (raw) (eV per atom): -0.225
Total magnetization (Bohr magnetons per cell): 2.63

=====

3.
Compound: Cd2SiP
Source: Alexandria
Functional: PBEsol
Structure: relaxed

```
Cd2SiP
1.0
4.7400 0.0000 0.0000
2.3700 4.1050 0.0000
2.3700 1.3683 3.8702
Cd P Si
2 1 1
Direct
0.2500 0.2500 0.2500
0.7500 0.7500 0.7500
0.0000 0.0000 0.0000
0.5000 0.5000 0.5000
```

Summary:
Crystal system: cubic
Final energy (eV/atom): -2.983
ΔE_f (raw) (eV per atom): 0.500
Total magnetization (Bohr magnetons per cell): 0.00

=====

4.
Compound: LaYCd2
Source: Alexandria
Functional: PBEsol
Structure: relaxed

```
LaYCd2
1.0
-0.8594 -2.3094 -4.7418
-3.7344 -3.7911 -0.4879
-4.5040 1.0167 -2.6900
Cd Y La
2 1 1
Direct
0.2500 0.2500 0.2500
0.7500 0.7500 0.7500
0.5000 0.5000 0.5000
0.0000 0.0000 0.0000
```

Summary:
Crystal system: cubic
Final energy (eV/atom): -3.970
Total magnetization (Bohr magnetons per cell): 0.26

=====

Copy entry 1 word for word.
Compound: LiZr2Tl
Source: Alexandria
Functional: PBEsol
Structure: relaxed

```
LiZr2Tl
1.0
3.3240 0.0000 0.0000
0.0000 4.2735 0.0000
0.0000 0.0000 5.7218
Li Zr Tl
1 2 1
Direct
0.5000 0.5000 0.0000
0.0000 0.0000 0.2462
0.0000 0.0000 0.7538
0.5000 0.5000 0.5000
```

Summary:
Crystal system: orthorhombic
Final energy (eV/atom): -5.674
Total magnetization (Bohr magnetons per cell): 0.00

=====

Please write out number 1 again, unchanged.
Compound: LiZr2Tl
Source: Alexandria
Functional: PBEsol
Structure: relaxed

```
LiZr2Tl
1.0
3.3240 0.0000 0.0000
0.0000 4.2735 0.0000
0.0000 0.0000 5.7218
Li Zr Tl
1 2 1
Direct
0.5000 0.5000 0.0000
0.0000 0.0000 0.2462
0.0000 0.0000 0.7538
0.5000 0.5000 0.5000
```

Summary:
Crystal system: orthorhombic
Final energy (eV/atom): -5.674
Total magnetization (Bohr magnetons per cell): 0.00